Entry 1:
MgSnP2O | PBE | optimized geometry

Its total energy is -20.4 eV per cell.

It has space group P4/mmm (No. 123), with a = 5.212 Å, b = 5.212 Å, c = 3.885 Å, α = 90.00°, β = 90.00° and γ = 90.00°. The distinct sites, in fractional coordinates, are Mg at (0.000, 0.000, 0.000), Sn at (0.500, 0.500, 0.500), P at (0.000, 0.500, 0.500) and O at (0.500, 0.500, 0.000).

***

Entry 2:
Li2ZrU2S6 | PBE | optimized geometry

Its total energy is -150.8 eV per cell.

It has space group C2/m (No. 12), with a = 6.640 Å, b = 11.420 Å, c = 6.590 Å, α = 90.00°, β = 108.53° and γ = 90.00°. The distinct sites, in fractional coordinates, are Li at (0.000, 0.161, 0.000), Zr at (0.000, 0.000, 0.500), U at (0.000, 0.336, 0.500), S at (0.237, 0.000, 0.250) and S at (0.238, 0.164, 0.745).

***

Respective Fermi-level density of states values: 3.125; 15.930 states/eV per cell.
Respective energy relative to the elements, uncorrected values: 1.0; -15.7 eV per formula unit.